[1]
Computed, not measured: LaCoP2 after structural relaxation at the PBE level of DFT.

Lattice parameters (Å, degrees): 4.353 3.782 4.516 90.00 102.28 90.00
Fractional coordinates of all 4 atoms:
La 0.000 0.000 0.000
Co 0.500 0.000 0.500
P 0.271 0.500 0.620
P 0.729 0.500 0.380

Calculated values
* relative energy among the computed polymorphs: 2.1 kJ per mole of atoms
* formation enthalpy at 0 K: -0.90 eV per atom



[2]
Computed, not measured: HoPuGaPd after structural relaxation at the PBE level of DFT.

Lattice parameters (Å, degrees): 7.105 7.105 7.105 90.00 90.00 90.00
Fractional coordinates of all 16 atoms:
Ho 0.000 0.000 0.000
Ho 0.000 0.500 0.500
Ho 0.500 0.000 0.500
Ho 0.500 0.500 0.000
Pu 0.000 0.000 0.500
Pu 0.000 0.500 0.000
Pu 0.500 0.000 0.000
Pu 0.500 0.500 0.500
Ga 0.250 0.250 0.250
Ga 0.250 0.750 0.750
Ga 0.750 0.250 0.750
Ga 0.750 0.750 0.250
Pd 0.250 0.250 0.750
Pd 0.250 0.750 0.250
Pd 0.750 0.250 0.250
Pd 0.750 0.750 0.750

Calculated values
* formation enthalpy at 0 K: -0.47 eV per atom



[3]
Computed, not measured: VCdFe2 after structural relaxation at the PBE level of DFT.

Lattice parameters (Å, degrees): 3.819 3.819 17.581 90.00 90.00 90.00
Fractional coordinates of all 16 atoms:
V 0.000 0.000 0.000
V 0.000 0.500 0.250
V 0.500 0.000 0.750
V 0.500 0.500 0.500
Cd 0.000 0.000 0.500
Cd 0.000 0.500 0.750
Cd 0.500 0.000 0.250
Cd 0.500 0.500 0.000
Fe 0.206 0.250 0.125
Fe 0.250 0.706 0.375
Fe 0.250 0.794 0.875
Fe 0.294 0.250 0.625
Fe 0.706 0.750 0.625
Fe 0.750 0.206 0.875
Fe 0.750 0.294 0.375
Fe 0.794 0.750 0.125

Calculated values
* formation enthalpy at 0 K: 0.76 eV per atom



[4]
Computed, not measured: Pu9Ge2Pb after structural relaxation at the PBE level of DFT.

Lattice parameters (Å, degrees): 4.652 4.652 13.873 90.00 90.00 90.00
Fractional coordinates of all 12 atoms:
Pu 0.000 0.000 0.000
Pu 0.000 0.000 0.339
Pu 0.000 0.000 0.661
Pu 0.000 0.500 0.179
Pu 0.000 0.500 0.500
Pu 0.000 0.500 0.821
Pu 0.500 0.000 0.179
Pu 0.500 0.000 0.500
Pu 0.500 0.000 0.821
Ge 0.500 0.500 0.338
Ge 0.500 0.500 0.662
Pb 0.500 0.500 0.000

Calculated values
* formation enthalpy at 0 K: -0.15 eV per atom



[5]
Computed, not measured: MgTlI3 after structural relaxation at the PBE level of DFT.

Lattice parameters (Å, degrees): 10.372 4.363 16.564 90.00 90.00 90.00
Fractional coordinates of all 20 atoms:
Mg 0.162 0.250 0.054
Mg 0.338 0.750 0.554
Mg 0.662 0.250 0.446
Mg 0.838 0.750 0.946
Tl 0.025 0.750 0.325
Tl 0.475 0.250 0.825
Tl 0.525 0.750 0.175
Tl 0.975 0.250 0.675
I 0.021 0.250 0.898
I 0.171 0.250 0.494
I 0.226 0.750 0.711
I 0.274 0.250 0.211
I 0.329 0.750 0.994
I 0.479 0.750 0.398
I 0.521 0.250 0.602
I 0.671 0.250 0.006
I 0.726 0.750 0.789
I 0.774 0.250 0.289
I 0.829 0.750 0.506
I 0.979 0.750 0.102

Calculated values
* uncorrected formation energy: -873 meV/atom
* relative energy among the computed polymorphs: 0.0 kJ per mole of atoms



Number 1: final energy -6.61 eV per atom, total magnetic moment 0.000 μB per formula unit. Number 2: final energy -7.25 eV per atom, total magnetic moment 5.349 μB per formula unit. Number 3: final energy -5.98 eV per atom, total magnetic moment 2.331 μB per formula unit. Number 4: final energy -11.98 eV per atom, total magnetic moment 52.570 μB per formula unit. Number 5: final energy -2.60 eV per atom, total magnetic moment 0.000 μB per formula unit.